{"formula": "UGaGe2", "functional": "PBE-GGA", "state": "optimized geometry", "lattice_angstrom": [[4.288, 0.000, 0.000], [0.000, 4.288, 0.000], [0.000, 0.000, 4.050]], "species": ["U", "Ga", "Ge", "Ge"], "fractional_positions": [[0.000, 0.000, 0.000], [0.500, 0.500, 0.000], [0.000, 0.500, 0.500], [0.500, 0.000, 0.500]], "magnetic_moment_mub_per_cell": 0.0, "relative_energy_ev_per_atom": 0.000, "ef_ev_per_atom": -0.33, "density_g_cm3": 10.10}